Record 1
AgIrOs2 after structural relaxation. Source: the Alexandria database, functional PBE.

a = 2.759 Å, b = 4.669 Å, c = 4.760 Å
α = 90.00°, β = 90.00°, γ = 90.00°
Positions (direct):
Ag  0.000  0.000  0.000
Ir  0.500  0.500  0.000
Os  0.000  0.500  0.500
Os  0.500  0.000  0.500

Properties
Volume: 61.32 Å³ per cell
E_form: 3.206 eV/f.u.

***

Record 2
La2CeCd2In2 after structural relaxation. Source: the Alexandria database, functional PBE.

a = 9.552 Å, b = 9.552 Å, c = 9.552 Å
α = 30.80°, β = 30.80°, γ = 30.80°
Positions (direct):
La  0.128  0.128  0.128
La  0.872  0.872  0.872
Ce  0.000  0.000  0.000
Cd  0.394  0.394  0.394
Cd  0.606  0.606  0.606
In  0.265  0.265  0.265
In  0.735  0.735  0.735

Properties
Volume: 202.70 Å³ per cell
E_form: -1.969 eV/f.u.

***

Record 3
Pm3NiSn after structural relaxation. Source: the Alexandria database, functional PBE.

a = 7.349 Å, b = 7.349 Å, c = 7.349 Å
α = 90.00°, β = 90.00°, γ = 90.00°
Positions (direct):
Pm  0.000  0.000  0.000
Pm  0.269  0.269  0.269
Pm  0.269  0.269  0.731
Pm  0.269  0.731  0.269
Pm  0.269  0.731  0.731
Pm  0.731  0.269  0.269
Pm  0.731  0.269  0.731
Pm  0.731  0.731  0.269
Pm  0.731  0.731  0.731
Ni  0.000  0.500  0.500
Ni  0.500  0.000  0.500
Ni  0.500  0.500  0.000
Sn  0.000  0.000  0.500
Sn  0.000  0.500  0.000
Sn  0.500  0.000  0.000

Properties
Volume: 396.88 Å³ per cell
E_form: -1.527 eV/f.u.

***

> The highest E_form belongs to which entry?

AgIrOs2